Y4AlCuAg2 after structural relaxation. Source: the Alexandria database, functional GGA-PBE.

```
8
Lattice="2.5519 1.4734 8.3314 -2.5519 1.4734 8.3314 0.0000 -2.9467 8.3314" Properties=species:S:1:pos:R:3 pbc="T T T"
Y 0.0000 0.0000 3.0196
Y 0.0000 0.0000 9.2893
Y 0.0000 0.0000 15.7050
Y 0.0000 0.0000 21.9747
Al 0.0000 0.0000 12.4971
Cu 0.0000 0.0000 0.0000
Ag 0.0000 0.0000 6.1232
Ag 0.0000 0.0000 18.8711
```

Results
* ΔE_f: -0.32 eV/atom
* crystal system: trigonal
* space group: R-3m (166)

ZrAuSe after structural relaxation. Source: the Alexandria database, functional GGA-PBE.

```
3
Lattice="3.6332 0.0000 0.0000 -1.8166 3.1464 0.0000 0.0000 0.0000 6.1788" Properties=species:S:1:pos:R:3 pbc="T T T"
Zr 0.0000 0.0000 0.0000
Au 1.8166 1.0488 1.9170
Se 0.0000 2.0976 4.4924
```

Results
* uncorrected formation energy: -0.636 eV/atom
* crystal system: trigonal
* space group: P3m1 (156)

NaZnGe after structural relaxation. Source: the Alexandria database, functional GGA-PBE.

```
3
Lattice="0.0000 3.1700 3.1700 3.1700 0.0000 3.1700 3.1700 3.1700 0.0000" Properties=species:S:1:pos:R:3 pbc="T T T"
Na 0.0000 0.0000 0.0000
Zn 1.5850 1.5850 1.5850
Ge 3.1700 3.1700 3.1700
```

Results
* ΔE_f: 0.08 eV/atom
* crystal system: cubic
* space group: F-43m (216)

Tb3Al3Cu2 after structural relaxation. Source: the Alexandria database, functional GGA-PBE.

```
32
Lattice="8.0928 0.0000 0.0000 0.0000 14.8235 0.0000 0.0000 0.0000 5.6233" Properties=species:S:1:pos:R:3 pbc="T T T"
Tb 0.3205 1.6516 0.6651
Tb 0.3205 5.7602 0.6651
Tb 1.5014 3.7059 3.4407
Tb 2.5450 11.1176 0.6290
Tb 3.7259 9.0633 3.4767
Tb 3.7259 13.1719 3.4767
Tb 4.3669 1.6516 2.1466
Tb 4.3669 5.7602 2.1466
Tb 5.5478 3.7059 4.9943
Tb 6.5914 11.1176 2.1827
Tb 7.7723 9.0633 4.9583
Tb 7.7723 13.1719 4.9583
Al 1.3456 11.1176 3.3727
Al 1.5202 0.5297 3.4419
Al 1.5202 6.8821 3.4419
Al 2.5262 7.9414 0.6302
Al 2.5262 14.2938 0.6302
Al 2.7008 3.7059 0.5610
Al 5.3920 11.1176 5.0624
Al 5.5666 0.5297 4.9932
Al 5.5666 6.8821 4.9932
Al 6.5725 7.9414 2.1815
Al 6.5725 14.2938 2.1815
Al 6.7472 3.7059 2.2507
Cu 0.7922 8.9586 2.1197
Cu 0.7922 13.2766 2.1197
Cu 3.2542 1.5469 4.9314
Cu 3.2542 5.8649 4.9314
Cu 4.8386 8.9586 0.6919
Cu 4.8386 13.2766 0.6919
Cu 7.3006 1.5469 3.5036
Cu 7.3006 5.8649 3.5036
```

Results
* ΔE_f: -0.38 eV/atom
* crystal system: orthorhombic
* space group: Pnma (62)

Sr4CaTc3O12 after structural relaxation. Source: the Alexandria database, functional GGA-PBE.

```
20
Lattice="-4.0569 4.0569 4.0569 4.0569 -4.0569 4.0569 4.0569 4.0569 -4.0569" Properties=species:S:1:pos:R:3 pbc="T T T"
Sr 2.0284 2.0284 -2.0284
Sr 2.0284 -2.0284 2.0284
Sr -2.0284 2.0284 2.0284
Sr 2.0284 2.0284 2.0284
Ca 0.0000 0.0000 0.0000
Tc 4.0569 0.0000 0.0000
Tc 0.0000 4.0569 0.0000
Tc 0.0000 0.0000 4.0569
O 2.1591 0.0000 0.0000
O 5.9547 0.0000 0.0000
O 4.0569 2.0284 0.0000
O 4.0569 0.0000 2.0284
O 0.0000 2.1591 0.0000
O 0.0000 0.0000 2.1591
O 2.0284 4.0569 0.0000
O 2.0284 0.0000 4.0569
O 0.0000 5.9547 0.0000
O 0.0000 0.0000 5.9547
O 0.0000 4.0569 2.0284
O 0.0000 2.0284 4.0569
```

Results
* uncorrected formation energy: -2.176 eV/atom
* crystal system: cubic
* space group: Im-3m (229)

LiLaGeSe2 after structural relaxation. Source: the Alexandria database, functional GGA-PBE.

```
5
Lattice="5.6239 0.0000 0.0000 0.0000 5.6239 0.0000 0.0000 0.0000 5.7748" Properties=species:S:1:pos:R:3 pbc="T T T"
Li 0.0000 0.0000 0.0000
La 0.0000 0.0000 2.8874
Ge 2.8119 2.8119 0.0000
Se 0.0000 2.8119 2.8874
Se 2.8119 0.0000 2.8874
```

Results
* uncorrected formation energy: 0.094 eV/atom
* crystal system: tetragonal
* space group: P4/mmm (123)

Li12CaZn4 after structural relaxation. Source: the Alexandria database, functional GGA-PBE.

```
17
Lattice="-4.4844 4.4844 4.4844 4.4844 -4.4844 4.4844 4.4844 4.4844 -4.4844" Properties=species:S:1:pos:R:3 pbc="T T T"
Li 3.1298 0.0000 1.4637
Li 5.8389 0.0000 1.4637
Li 4.4844 3.0206 -1.3545
Li 1.4637 3.1298 0.0000
Li 3.0206 -1.3545 4.4844
Li 4.4844 3.0206 1.3545
Li 0.0000 1.4637 3.1298
Li 1.4637 5.8389 0.0000
Li 3.0206 1.3545 4.4844
Li 0.0000 1.4637 5.8389
Li -1.3545 4.4844 3.0206
Li 1.3545 4.4844 3.0206
Ca 0.0000 0.0000 0.0000
Zn 2.2422 2.2422 -2.2422
Zn 2.2422 -2.2422 2.2422
Zn -2.2422 2.2422 2.2422
Zn 2.2422 2.2422 2.2422
```

Results
* ΔE_f: 0.09 eV/atom
* crystal system: cubic
* space group: Im-3 (204)

CaGe2Sb after structural relaxation. Source: the Alexandria database, functional GGA-PBE.

```
4
Lattice="4.5818 0.0000 0.0000 0.0000 4.5818 0.0000 0.0000 0.0000 4.4048" Properties=species:S:1:pos:R:3 pbc="T T T"
Ca 0.0000 0.0000 0.0000
Ge 0.0000 2.2909 2.2024
Ge 2.2909 0.0000 2.2024
Sb 2.2909 2.2909 0.0000
```

Results
* uncorrected formation energy: -0.262 eV/atom
* crystal system: tetragonal
* space group: P4/mmm (123)

CeNdTmPu after structural relaxation. Source: the Alexandria database, functional GGA-PBE.

```
4
Lattice="0.0000 3.9370 3.9370 3.9370 0.0000 3.9370 3.9370 3.9370 0.0000" Properties=species:S:1:pos:R:3 pbc="T T T"
Ce 0.0000 0.0000 0.0000
Nd 3.9370 3.9370 3.9370
Tm 5.9055 5.9055 5.9055
Pu 1.9685 1.9685 1.9685
```

Results
* ΔE_f: 0.20 eV/atom
* crystal system: cubic
* space group: F-43m (216)

Ca2BeSb2 after structural relaxation. Source: the Alexandria database, functional GGA-PBE.

```
10
Lattice="7.3272 0.0000 0.0000 0.0000 7.3272 0.0000 0.0000 0.0000 4.7568" Properties=species:S:1:pos:R:3 pbc="T T T"
Ca 1.2165 2.4471 0.0000
Ca 2.4471 6.1107 0.0000
Ca 4.8801 1.2165 0.0000
Ca 6.1107 4.8801 0.0000
Be 0.0000 0.0000 2.3784
Be 3.6636 3.6636 2.3784
Sb 1.1080 4.7716 2.3784
Sb 2.5556 1.1080 2.3784
Sb 4.7716 6.2192 2.3784
Sb 6.2192 2.5556 2.3784
```

Results
* uncorrected formation energy: -0.339 eV/atom
* crystal system: tetragonal
* space group: P4/mbm (127)

RbTe2AuN after structural relaxation. Source: the Alexandria database, functional GGA-PBE.

```
5
Lattice="6.6346 0.0000 0.0000 0.0000 6.6346 0.0000 0.0000 0.0000 5.2098" Properties=species:S:1:pos:R:3 pbc="T T T"
Rb 0.0000 0.0000 0.0000
Te 0.0000 3.3173 0.0000
Te 3.3173 0.0000 0.0000
Au 3.3173 3.3173 2.6049
N 0.0000 0.0000 2.6049
```

Results
* uncorrected formation energy: 1.778 eV/atom
* crystal system: tetragonal
* space group: P4/mmm (123)

UAg3Se4 after structural relaxation. Source: the Alexandria database, functional GGA-PBE.

```
16
Lattice="5.7003 0.0000 0.0000 0.0000 11.2454 0.0000 0.0000 0.0000 5.6998" Properties=species:S:1:pos:R:3 pbc="T T T"
U 1.4251 2.8113 1.4154
U 4.2752 8.4340 4.2845
Ag 1.4251 11.2452 4.2844
Ag 1.4251 5.6228 4.2844
Ag 1.4251 8.4340 1.4540
Ag 4.2752 0.0001 1.4155
Ag 4.2752 2.8113 4.2459
Ag 4.2752 5.6226 1.4155
Se 1.4251 0.0586 1.4299
Se 1.4251 2.8113 4.2652
Se 1.4251 5.5641 1.4299
Se 1.4251 8.4340 4.2961
Se 4.2752 2.8113 1.4037
Se 4.2752 5.6813 4.2700
Se 4.2752 8.4340 1.4347
Se 4.2752 11.1868 4.2700
```

Results
* uncorrected formation energy: -0.465 eV/atom
* crystal system: orthorhombic
* space group: Pmmn (59)

YSiW4 after structural relaxation. Source: the Alexandria database, functional GGA-PBE.

```
6
Lattice="0.0000 3.8119 3.8119 3.8119 0.0000 3.8119 3.8119 3.8119 0.0000" Properties=species:S:1:pos:R:3 pbc="T T T"
Y 0.0000 0.0000 0.0000
Si 5.7179 5.7179 5.7179
W 2.8621 2.8621 2.8621
W 4.7617 4.7617 2.8621
W 4.7617 2.8621 4.7617
W 2.8621 4.7617 4.7617
```

Results
* uncorrected formation energy: 0.451 eV/atom
* crystal system: cubic
* space group: F-43m (216)

HoCuAsH after structural relaxation. Source: the Alexandria database, functional GGA-PBE.

```
8
Lattice="3.8734 0.0000 0.0000 0.0000 3.8734 0.0000 0.0000 0.0000 7.7717" Properties=species:S:1:pos:R:3 pbc="T T T"
Ho 0.9684 0.9684 1.2736
Ho 2.9051 2.9051 6.4982
Cu 0.9684 2.9051 3.8859
Cu 2.9051 0.9684 3.8859
As 0.9684 0.9684 5.4744
As 2.9051 2.9051 2.2974
H 0.9684 2.9051 0.0000
H 2.9051 0.9684 0.0000
```

Results
* total energy: -4.9156 eV/atom
* crystal system: tetragonal
* space group: P4/nmm (129)

BaLiBeAu2 after structural relaxation. Source: the Alexandria database, functional GGA-PBE.

```
5
Lattice="4.7916 0.0000 0.0000 0.0000 4.7916 0.0000 0.0000 0.0000 4.8073" Properties=species:S:1:pos:R:3 pbc="T T T"
Ba 0.0000 0.0000 0.0000
Li 2.3958 2.3958 0.0000
Be 2.3958 2.3958 2.4037
Au 0.0000 2.3958 2.4037
Au 2.3958 0.0000 2.4037
```

Results
* ΔE_f: -0.31 eV/atom
* crystal system: tetragonal
* space group: P4/mmm (123)

MgScTc2C after structural relaxation. Source: the Alexandria database, functional GGA-PBE.

```
5
Lattice="4.1089 0.0000 0.0000 0.0000 4.1089 0.0000 0.0000 0.0000 4.4787" Properties=species:S:1:pos:R:3 pbc="T T T"
Mg 0.0000 0.0000 0.0000
Sc 2.0544 2.0544 0.0000
Tc 0.0000 2.0544 2.2393
Tc 2.0544 0.0000 2.2393
C 2.0544 2.0544 2.2393
```

Results
* ΔE_f: -0.10 eV/atom
* crystal system: tetragonal
* space group: P4/mmm (123)

Ca3Ge2Au4 after structural relaxation. Source: the Alexandria database, functional GGA-PBE.

```
9
Lattice="5.3730 -2.2978 0.0000 5.3730 2.2978 0.0000 -3.4869 0.0000 8.1701" Properties=species:S:1:pos:R:3 pbc="T T T"
Ca 0.0000 0.0000 0.0000
Ca 2.7374 0.0000 2.5591
Ca 4.5216 0.0000 5.6111
Ge 1.3862 0.0000 5.5613
Ge 5.8728 0.0000 2.6089
Au -0.4529 0.0000 3.3736
Au -0.2140 0.0000 7.6083
Au 7.4730 0.0000 0.5619
Au 7.7119 0.0000 4.7965
```

Results
* ΔE_f: -0.69 eV/atom
* crystal system: monoclinic
* space group: C2/m (12)

BeCr3Bi after structural relaxation. Source: the Alexandria database, functional GGA-PBE.

```
5
Lattice="5.2191 0.0000 0.0000 0.0000 5.2191 0.0000 0.0000 0.0000 5.2191" Properties=species:S:1:pos:R:3 pbc="T T T"
Be 0.0000 0.0000 0.0000
Cr 0.0000 2.6095 2.6095
Cr 2.6095 0.0000 2.6095
Cr 2.6095 2.6095 0.0000
Bi 2.6095 2.6095 2.6095
```

Results
* ΔE_f: 1.86 eV/atom
* crystal system: cubic
* space group: Pm-3m (221)

ScZn2Mo after structural relaxation. Source: the Alexandria database, functional GGA-PBE.

```
4
Lattice="4.7286 0.0000 0.0000 0.0000 4.7286 0.0000 0.0000 0.0000 2.8995" Properties=species:S:1:pos:R:3 pbc="T T T"
Sc 0.0000 0.0000 0.0000
Zn 0.0000 2.3643 1.4498
Zn 2.3643 0.0000 1.4498
Mo 2.3643 2.3643 0.0000
```

Results
* ΔE_f: 0.01 eV/atom
* crystal system: tetragonal
* space group: P4/mmm (123)

CaLa8Pr4 after structural relaxation. Source: the Alexandria database, functional GGA-PBE.

```
13
Lattice="5.9925 3.4598 4.0861 -5.9925 3.4598 4.0861 0.0000 -6.9195 4.0861" Properties=species:S:1:pos:R:3 pbc="T T T"
Ca 0.0000 0.0000 0.0000
La -2.9515 -1.7041 6.1249
La 0.0000 0.0000 3.2881
La 0.0000 -3.4081 6.1334
La -2.9515 1.7041 6.1334
La 2.9515 -1.7041 6.1249
La 0.0000 3.4081 6.1249
La 0.0000 0.0000 8.9701
La 2.9515 1.7041 6.1334
Pr -5.9925 0.0000 6.1291
Pr -2.9962 1.7299 2.0430
Pr 2.9962 1.7299 2.0430
Pr 0.0000 0.0000 6.1291
```

Results
* ΔE_f: 0.35 eV/atom
* crystal system: trigonal
* space group: R-3m (166)

Asked for magnetic moment across the records above, the calculation gives 0.00; 0.00; 0.00; 0.00; 1.03; 0.00; 0.00; 0.00; 8.56; 0.00; 5.14; 2.50; 0.00; 0.00; 0.00; 0.00; 0.00; 12.95; 0.00; 0.00 μB/cell in order.
Asked for N(E_F) across the records above, the calculation gives 5.765; 3.320; 2.146; 33.940; 5.327; 3.335; 8.647; 1.826; 9.351; 4.463; 5.539; 6.743; 4.679; 0.343; 2.554; 4.607; 4.435; 3.271; 2.182; 28.057 states/eV/cell in order.